Here is Ac2Pr4Sm3 after structural relaxation from Alexandria via LeMat-Bulk. Energies are from PBE-GGA.

The structure belongs to space group P2_1/c (No. 14); the cell edges are 8.905, 8.942 and 9.117 Å and the angles 90.00°, 111.40° and 90.00°. The inequivalent atoms are Ac at (0.175, 0.152, 0.048), Pr at (0.085, 0.537, 0.867), Pr at (0.483, 0.137, 0.854), Sm at (0.248, 0.674, 0.252) and Sm at (0.500, 0.000, 0.500).

The value obtained for the total moment is 0.00 Bohr magnetons per cell. The value obtained for the calculated volume is 338.0 Å³/f.u. The value obtained for the offset from the most stable computed form is 57 meV per atom. The calculation puts the density of states at the Fermi level at 1.39 states/eV/atom. The value obtained for the total DFT energy (no corrections) is -40.30 eV/f.u. The value obtained for the formation energy is 115 kJ/mol of formula units.

Here is La2Ce2Te2Br5 after structural relaxation from Alexandria via LeMat-Bulk. Energies are from PBE-GGA.

The structure belongs to space group I4/mmm (No. 139); the cell edges are 5.847, 5.847 and 27.301 Å and the angles 90.00°, 90.00° and 90.00°. The inequivalent atoms are La at (0.000, 0.000, 0.111), Ce at (0.000, 0.000, 0.332), Te at (0.000, 0.000, 0.221), Br at (0.000, 0.000, 0.000) and Br at (0.000, 0.500, 0.115).

The value obtained for the total moment is 5.79 Bohr magnetons per cell. The value obtained for the calculated volume is 466.7 Å³/f.u. The calculation puts the density of states at the Fermi level at 1.83 states/eV/atom. The value obtained for the total DFT energy (no corrections) is -50.87 eV/f.u. The value obtained for the uncorrected formation energy is -1399 kJ/mol of formula units.

Here is Sm2CdCu2Pt5 after structural relaxation from Alexandria via LeMat-Bulk. Energies are from PBE-GGA.

The structure belongs to space group P4/mbm (No. 127); the cell edges are 9.477, 9.477 and 3.987 Å and the angles 90.00°, 90.00° and 90.00°. The inequivalent atoms are Sm at (0.177, 0.323, 0.000), Cd at (0.000, 0.000, 0.000), Cu at (0.120, 0.620, 0.000), Pt at (0.000, 0.500, 0.500) and Pt at (0.070, 0.790, 0.500).

The value obtained for the total moment is 0.00 Bohr magnetons per cell. The value obtained for the calculated volume is 179.1 Å³/f.u. The calculation puts the density of states at the Fermi level at 0.35 states/eV/atom. The value obtained for the total DFT energy (no corrections) is -56.19 eV/f.u. The value obtained for the formation energy is -718 kJ/mol of formula units.

Here is NaSnB after structural relaxation from Alexandria via LeMat-Bulk. Energies are from PBE-GGA.

The structure belongs to space group Cmcm (No. 63); the cell edges are 6.482, 7.630 and 5.863 Å and the angles 90.00°, 90.00° and 90.00°. The inequivalent atoms are Na at (0.000, 0.138, 0.250), Sn at (0.000, 0.282, 0.750) and B at (0.000, 0.500, 0.000).

The value obtained for the total moment is 0.00 Bohr magnetons per cell. The value obtained for the calculated volume is 72.5 Å³/f.u. The calculation puts the density of states at the Fermi level at 0.15 states/eV/atom. The value obtained for the total DFT energy (no corrections) is -9.62 eV/f.u. The value obtained for the formation energy is 229 kJ/mol of formula units.

Here is CuBiP2Rh after structural relaxation from Alexandria via LeMat-Bulk. Energies are from PBE-GGA.

The structure belongs to space group P4/mmm (No. 123); the cell edges are 4.377, 4.377 and 5.273 Å and the angles 90.00°, 90.00° and 90.00°. The inequivalent atoms are Cu at (0.000, 0.000, 0.000), Bi at (0.000, 0.000, 0.500), P at (0.000, 0.500, 0.000) and Rh at (0.500, 0.500, 0.500).

The value obtained for the total moment is 0.00 Bohr magnetons per cell. The value obtained for the calculated volume is 101.0 Å³/f.u. The calculation puts the density of states at the Fermi level at 1.06 states/eV/atom. The value obtained for the total DFT energy (no corrections) is -21.93 eV/f.u. The value obtained for the formation energy is 407 kJ/mol of formula units.

Here is V3Re5 after structural relaxation from Alexandria via LeMat-Bulk. Energies are from PBE-GGA.

The structure belongs to space group Im-3m (No. 229); the cell edges are 6.127, 6.127 and 6.127 Å and the angles 90.00°, 90.00° and 90.00°. The inequivalent atoms are V at (0.000, 0.000, 0.500), Re at (0.000, 0.000, 0.000) and Re at (0.250, 0.250, 0.250).

The value obtained for the total moment is 0.01 Bohr magnetons per cell. The value obtained for the calculated volume is 115.0 Å³/f.u. The calculation puts the density of states at the Fermi level at 0.85 states/eV/atom. The value obtained for the total DFT energy (no corrections) is -91.19 eV/f.u. The value obtained for the formation energy is -154 kJ/mol of formula units.